1.
The following is a PBE calculation of a geometry-optimized Ta2TcMo structure, from Alexandria via LeMat-Bulk.

a b c (Å): 4.423 2.852 5.329
angles (deg): 80.94 90.00 90.00
Fractional coordinates of all 4 atoms:
1 Mo 0.500 0.750 0.750
2 Ta 0.000 0.001 0.001
3 Ta 0.000 0.499 0.499
4 Tc 0.500 0.250 0.250

Values from the calculation:
Polymorph energy (0 for the lowest one)   172 meV per atom
Formation energy   -0.180 eV per atom
D(E_F)   2.05 states/eV/cell
Volume   16.595 Å³ per atom
Density   13.9 g cm⁻³

2.
The following is a PBE calculation of a geometry-optimized Ta2TcMo structure, from Alexandria via LeMat-Bulk.

a b c (Å): 5.358 5.358 4.503
angles (deg): 65.17 65.17 34.82
Fractional coordinates of all 4 atoms:
1 Mo 0.753 0.753 0.747
2 Tc 0.498 0.498 0.502
3 Ta 0.004 0.004 0.996
4 Ta 0.245 0.245 0.255

Values from the calculation:
Polymorph energy (0 for the lowest one)   63 meV per atom
Formation energy   -0.290 eV per atom
D(E_F)   1.29 states/eV/cell
Volume   16.574 Å³ per atom
Density   13.9 g cm⁻³